Density functional theory data (PBE) for HfInCoC2 after structural relaxation.

Computed properties:
As for the formation energy from the elements: 1.94 eV/atom. As for the density of states at the Fermi level: 4.89 states/eV/f.u. Its magnetization is 0.469 μB per atom. As for the total energy: -5.71 eV per atom.

```
data_HfInCoC2
_chemical_formula_sum 'Hf1 In1 Co1 C2'
_cell_length_a 4.215
_cell_length_b 5.649
_cell_length_c 4.215
_cell_angle_alpha 90.00
_cell_angle_beta 90.00
_cell_angle_gamma 90.00
_space_group_name_H-M_alt 'P 1'
_space_group_IT_number 1
loop_
_space_group_symop_operation_xyz
'x,y,z'
loop_
_atom_site_label
_atom_site_fract_x
_atom_site_fract_y
_atom_site_fract_z
_atom_site_occupancy
Co1 0.500 0.500 0.500 1
Hf1 0.000 0.000 0.000 1
C1 0.500 0.000 0.000 1
In1 0.000 0.500 0.000 1
C2 0.000 0.000 0.500 1
```